A plane-wave DFT calculation with GGA+U was carried out for FeSbO4 after structural relaxation.

Results
The value obtained for the calculated total energy is -74.14 eV/cell. For the volume, the calculation gives 11.26 A^3/atom.

abc: 5.1198 4.6403 5.6880
angles: 90.00 90.00 90.00
Fractional coordinates of all 12 atoms:
1 Fe 0.0000 0.0000 0.0000
2 Fe 0.0000 0.5000 0.5000
3 Sb 0.5000 0.0000 0.3094
4 Sb 0.5000 0.5000 0.8094
5 O 0.1764 0.2269 0.2637
6 O 0.1764 0.2731 0.7637
7 O 0.3290 0.7317 0.5408
8 O 0.3290 0.7683 0.0408
9 O 0.6710 0.2317 0.0408
10 O 0.6710 0.2683 0.5408
11 O 0.8236 0.7269 0.7637
12 O 0.8236 0.7731 0.2637